First-principles (GGA-PBE) data for an optimized crystal structure of BaFeAgSe3, as listed in OQMD.

Calculated values
Total magnetic moment   7.03 μB/cell
Crystal system   monoclinic
Theoretical density   6.09 Mg/m³
V   24.5 A^3/atom
DFT total energy   -4.5821 eV/atom

Cell lengths 7.922, 4.173, 9.423 Å; angles 90.00, 109.58, 90.00 degrees
Site moments in Bohr magnetons follow the coordinates.
Positions (direct):
Ag 0.408 0.750 0.400  0.04
Ag 0.592 0.250 0.600  0.04
Ba 0.730 0.250 0.259  0.03
Ba 0.270 0.750 0.741  0.03
Fe 0.182 0.250 0.156  3.06
Fe 0.818 0.750 0.844  3.06
Se 0.387 0.750 0.119  0.06
Se 0.959 0.750 0.124  0.05
Se 0.212 0.250 0.435  0.06
Se 0.788 0.750 0.565  0.06
Se 0.041 0.250 0.876  0.05
Se 0.613 0.250 0.881  0.06



First-principles (GGA-PBE) data for an optimized crystal structure of BaSmY, as listed in OQMD.

Calculated values
Total magnetic moment   0.06 μB/cell
Crystal system   cubic
Theoretical density   4.39 Mg/m³
V   47.5 A^3/atom
DFT total energy   -3.5500 eV/atom

Cell lengths 5.862, 5.862, 5.862 Å; angles 60.00, 60.00, 60.00 degrees
Positions (direct):
Ba 0.250 0.250 0.250
Sm 0.750 0.750 0.750
Y 0.000 0.000 0.000